Entry 1:
DFT (GGA-PBEsol) results for a relaxed structure of LiGa3B.

* magnetization: 0.00 μB per formula unit
* calculated formation energy: 1.080 eV/atom
* symmetry: No. 221

Cell: 4.421 4.421 4.421 Å, 90.00 90.00 90.00°
Positions (direct):
Li1 0.000 0.000 0.000
Ga1 0.000 0.000 0.500
Ga2 0.000 0.500 0.000
Ga3 0.500 0.000 0.000
B1 0.500 0.500 0.500



Entry 2:
DFT (GGA-PBEsol) results for a relaxed structure of U2CN.

* magnetization: 1.07 μB per formula unit
* E_form (uncorrected): -0.7654 eV per atom
* symmetry: No. 166

Cell: 5.790 5.790 5.790 Å, 34.94 34.94 34.94°
Positions (direct):
U1 0.248 0.248 0.248
U2 0.752 0.752 0.752
C1 0.000 0.000 0.000
N1 0.500 0.500 0.500



The DFT total energy results, record by record, are as follows: -2.72 -11.39 eV per atom.